(1)
# GaMoH2 (PBE, optimized geometry)
data_GaMoH2
_symmetry_space_group_name_H-M 'C m c m'
_symmetry_Int_Tables_number 63
_symmetry_space_group_name_Hall '-C 2c 2'
_cell_length_a 3.091
_cell_length_b 9.947
_cell_length_c 5.063
_cell_angle_alpha 90.00
_cell_angle_beta 90.00
_cell_angle_gamma 90.00
loop_
_atom_site_label
_atom_site_type_symbol
_atom_site_fract_x
_atom_site_fract_y
_atom_site_fract_z
_atom_site_occupancy
Ga1 Ga 0.000 0.054 0.250 1
Mo1 Mo 0.000 0.223 0.750 1
H1 H 0.000 0.336 0.048 1
# VASP energy = -5.102 eV per atom
# Relative energy among the computed polymorphs = 5.4 meV/atom
# Magnetization = 0.0 μB per formula unit

(2)
# GaMoH2 (PBE, optimized geometry)
data_GaMoH2
_symmetry_space_group_name_H-M 'C 1 m 1'
_symmetry_Int_Tables_number 8
_cell_length_a 9.606
_cell_length_b 3.128
_cell_length_c 5.623
_cell_angle_alpha 90.00
_cell_angle_beta 112.64
_cell_angle_gamma 90.00
loop_
_symmetry_equiv_pos_as_xyz
'x,y,z'
'x,-y,z'
'x+1/2,y+1/2,z'
'x+1/2,-y+1/2,z'
loop_
_atom_site_label
_atom_site_type_symbol
_atom_site_fract_x
_atom_site_fract_y
_atom_site_fract_z
_atom_site_occupancy
Ga1 Ga 0.000 0.000 0.000 1
Ga2 Ga 0.236 0.000 0.488 1
Mo1 Mo 0.185 0.500 0.852 1
Mo2 Mo 0.457 0.500 0.452 1
H1 H 0.258 0.500 0.213 1
H2 H 0.295 0.000 0.930 1
H3 H 0.472 0.000 0.287 1
H4 H 0.482 0.000 0.669 1
# VASP energy = -5.107 eV per atom
# Relative energy among the computed polymorphs = 0.0 meV/atom
# Magnetization = 0.0 μB per formula unit

(3)
# Ga3MoH (PBE, optimized geometry)
data_Ga3MoH
_symmetry_space_group_name_H-M 'P m -3 m'
_symmetry_Int_Tables_number 221
_symmetry_space_group_name_Hall '-P 4 2 3'
_cell_length_a 4.949
_cell_length_b 4.949
_cell_length_c 4.949
_cell_angle_alpha 90.00
_cell_angle_beta 90.00
_cell_angle_gamma 90.00
loop_
_atom_site_label
_atom_site_type_symbol
_atom_site_fract_x
_atom_site_fract_y
_atom_site_fract_z
_atom_site_occupancy
Ga1 Ga 0.000 0.000 0.500 1
Mo1 Mo 0.000 0.000 0.000 1
H1 H 0.500 0.500 0.500 1
# VASP energy = -3.800 eV per atom
# Relative energy among the computed polymorphs = 553.6 meV/atom
# Magnetization = 1.2 μB per formula unit

(4)
# Ga3MoH (PBE, optimized geometry)
data_Ga3MoH
_symmetry_space_group_name_H-M 'P m -3 m'
_symmetry_Int_Tables_number 221
_symmetry_space_group_name_Hall '-P 4 2 3'
_cell_length_a 4.056
_cell_length_b 4.056
_cell_length_c 4.056
_cell_angle_alpha 90.00
_cell_angle_beta 90.00
_cell_angle_gamma 90.00
loop_
_atom_site_label
_atom_site_type_symbol
_atom_site_fract_x
_atom_site_fract_y
_atom_site_fract_z
_atom_site_occupancy
Ga1 Ga 0.000 0.000 0.500 1
Mo1 Mo 0.500 0.500 0.500 1
H1 H 0.000 0.000 0.000 1
# VASP energy = -4.354 eV per atom
# Relative energy among the computed polymorphs = 0.0 meV/atom
# Magnetization = 1.6 μB per formula unit